Material: HfNF
Method: DFT, GGA-PBE
State: relaxed

a = 3.128 Å, b = 3.130 Å, c = 10.899 Å
α = 90.00°, β = 125.19°, γ = 90.00°
Fractional coordinates of all 6 atoms:
Hf: 0.446 0.250 0.348
Hf: 0.554 0.750 0.652
N: 0.987 0.250 0.618
N: 0.013 0.750 0.382
F: 0.020 0.250 0.137
F: 0.980 0.750 0.863

volume = 14.535 Å³ per atom
formation energy (no corrections) = -2.383 eV per atom
crystal system = monoclinic
D(E_F) = 0.1 states/eV per cell